<A>
RbTaTc2: relaxed, PBE-GGA.

POSCAR file:
```
RbTaTc2
1.0
5.045 0.000 0.000
0.000 5.045 0.000
0.000 0.000 17.425
Rb Ta Tc
4 4 8
direct
0.000 0.000 0.000
0.000 0.500 0.250
0.500 0.000 0.750
0.500 0.500 0.500
0.000 0.000 0.500
0.000 0.500 0.750
0.500 0.000 0.250
0.500 0.500 0.000
0.040 0.250 0.625
0.250 0.540 0.875
0.250 0.960 0.375
0.460 0.250 0.125
0.540 0.750 0.125
0.750 0.040 0.375
0.750 0.460 0.875
0.960 0.750 0.625
```

Output
Magnetic moment in μB/f.u.: 0.000
ρ in kg/m³: 6926
DOS(E_F) in states/eV/cell: 22.5

=====

<B>
RbTaTc2: relaxed, PBE-GGA.

POSCAR file:
```
RbTaTc2
1.0
6.671 0.000 0.000
0.000 6.671 0.000
0.000 0.000 6.671
Rb Ta Tc
4 4 8
direct
0.000 0.000 0.000
0.000 0.500 0.500
0.500 0.000 0.500
0.500 0.500 0.000
0.000 0.000 0.500
0.000 0.500 0.000
0.500 0.000 0.000
0.500 0.500 0.500
0.250 0.250 0.250
0.250 0.250 0.750
0.250 0.750 0.250
0.250 0.750 0.750
0.750 0.250 0.250
0.750 0.250 0.750
0.750 0.750 0.250
0.750 0.750 0.750
```

Output
Magnetic moment in μB/f.u.: 0.000
ρ in kg/m³: 10344
DOS(E_F) in states/eV/cell: 23.2

=====

Which of them is most stable? Easy: <B>.

=====

<A>
RbTaTc3: relaxed, PBE-GGA.

POSCAR file:
```
RbTaTc3
1.0
4.950 0.000 0.000
0.000 4.950 0.000
0.000 0.000 4.950
Rb Ta Tc
1 1 3
direct
0.000 0.000 0.000
0.500 0.500 0.500
0.000 0.500 0.500
0.500 0.000 0.500
0.500 0.500 0.000
```

Output
Magnetic moment in μB/f.u.: 4.520
ρ in kg/m³: 7673
DOS(E_F) in states/eV/cell: 7.8

=====

<B>
RbTaTc3: relaxed, PBE-GGA.

POSCAR file:
```
RbTaTc3
1.0
4.583 0.000 0.000
0.000 4.583 0.000
0.000 0.000 4.583
Rb Ta Tc
1 1 3
direct
0.000 0.000 0.000
0.500 0.500 0.500
0.000 0.000 0.500
0.000 0.500 0.000
0.500 0.000 0.000
```

Output
Magnetic moment in μB/f.u.: 0.000
ρ in kg/m³: 9667
DOS(E_F) in states/eV/cell: 5.7

=====

Which of them is most stable? Easy: <A>.

=====

<A>
RbTa2Ti2: relaxed, PBE-GGA.

POSCAR file:
```
RbTa2Ti2
1.0
9.017 0.000 0.000
0.000 9.017 0.000
0.000 0.000 2.880
Rb Ta Ti
2 4 4
direct
0.000 0.000 0.000
0.500 0.500 0.000
0.129 0.371 0.500
0.371 0.871 0.500
0.629 0.129 0.500
0.871 0.629 0.500
0.132 0.632 0.000
0.368 0.132 0.000
0.632 0.868 0.000
0.868 0.368 0.000
```

Output
Magnetic moment in μB/f.u.: 0.000
ρ in kg/m³: 7702
DOS(E_F) in states/eV/cell: 16.6

=====

<B>
RbTa2Ti2: relaxed, PBE-GGA.

POSCAR file:
```
RbTa2Ti2
1.0
3.987 0.000 0.000
0.000 3.987 0.000
0.000 0.000 17.725
Rb Ta Ti
2 4 4
direct
0.000 0.000 0.000
0.500 0.500 0.500
0.000 0.500 0.250
0.000 0.500 0.750
0.500 0.000 0.250
0.500 0.000 0.750
0.000 0.000 0.356
0.000 0.000 0.644
0.500 0.500 0.144
0.500 0.500 0.856
```

Output
Magnetic moment in μB/f.u.: 1.493
ρ in kg/m³: 6401
DOS(E_F) in states/eV/cell: 12.9

=====

Which of them is most stable? Easy: <A>.

=====

<A>
RbTa2Tl: relaxed, PBE-GGA.

POSCAR file:
```
RbTa2Tl
1.0
7.095 0.000 0.000
0.000 7.095 0.000
0.000 0.000 7.095
Rb Ta Tl
4 8 4
direct
0.000 0.000 0.000
0.000 0.500 0.500
0.500 0.000 0.500
0.500 0.500 0.000
0.250 0.250 0.250
0.250 0.250 0.750
0.250 0.750 0.250
0.250 0.750 0.750
0.750 0.250 0.250
0.750 0.250 0.750
0.750 0.750 0.250
0.750 0.750 0.750
0.000 0.000 0.500
0.000 0.500 0.000
0.500 0.000 0.000
0.500 0.500 0.500
```

Output
Magnetic moment in μB/f.u.: 0.000
ρ in kg/m³: 12120
DOS(E_F) in states/eV/cell: 7.2

=====

<B>
RbTa2Tl: relaxed, PBE-GGA.

POSCAR file:
```
RbTa2Tl
1.0
8.669 0.000 0.000
0.000 8.669 0.000
0.000 0.000 5.749
Rb Ta Tl
4 8 4
direct
0.000 0.000 0.000
0.000 0.500 0.250
0.500 0.000 0.750
0.500 0.500 0.500
0.210 0.250 0.625
0.250 0.710 0.875
0.250 0.790 0.375
0.290 0.250 0.125
0.710 0.750 0.125
0.750 0.210 0.375
0.750 0.290 0.875
0.790 0.750 0.625
0.000 0.000 0.500
0.000 0.500 0.750
0.500 0.000 0.250
0.500 0.500 0.000
```

Output
Magnetic moment in μB/f.u.: 0.198
ρ in kg/m³: 10020
DOS(E_F) in states/eV/cell: 25.7

=====

Which of them is most stable? Easy: <A>.